Entry from Alexandria: La2GdAl after structural relaxation (PBE-GGA).

a b c (Å): 4.915 4.915 4.936
angles (deg): 90.00 90.00 90.00
Positions (direct):
La  0.000  0.500  0.000
La  0.500  0.000  0.000
Gd  0.000  0.000  0.500
Al  0.500  0.500  0.500

Values from the calculation:
Symmetry: P4/mmm (123)
Magnetic moment (μB per atom): 1.95
Volume (Å³/cell): 119.23
Theoretical density (g cm⁻³): 6.43
Energy relative to the elements (kJ/mol of atoms): -17.3
ΔE to the lowest computed polymorph (eV/f.u.): 0.00